Below is a geometry-optimized NaNd6Se8 structure, with properties calculated at the PBE level.

Cell: 11.914 11.914 11.914 Å, 90.00 90.00 90.00°
Space group Fm-3m (No. 225)
Symmetry-distinct sites (fractional):
Na: 0.000 0.000 0.000 x4
Nd: 0.000 0.250 0.250 x24
Se: 0.000 0.000 0.251 x24
Se: 0.250 0.250 0.250 x8

## Properties
Magnetization   0.000 μB per atom
Uncorrected formation energy   -1.81 eV/atom
ρ   5.97 g/cm3
N(E_F)   0.3068 states/eV/atom